A plane-wave DFT calculation with PBE-GGA was carried out for an optimized crystal structure of BaCdPb.

Density of states at the Fermi level (states/eV/cell): 3.99
M_tot (μB per formula unit): 0.00
ΔE_f (eV per formula unit): -1.11
Symmetry: Cmcm

a = 6.6874 Å, b = 6.6874 Å, c = 6.9343 Å
α = 90.00°, β = 90.00°, γ = 137.00°
Element x y z (fractional)
Ba 0.1916 0.8084 0.7500
Ba 0.8084 0.1916 0.2500
Cd 0.1014 0.8986 0.2500
Cd 0.8986 0.1014 0.7500
Pb 0.5000 0.5000 0.0000
Pb 0.5000 0.5000 0.5000

***

A plane-wave DFT calculation with PBE-GGA was carried out for an optimized crystal structure of Nb5Mo2W5.

Density of states at the Fermi level (states/eV/cell): 5.68
M_tot (μB per formula unit): 0.00
ΔE_f (eV per formula unit): -1.06
Symmetry: C2/m

a = 5.3575 Å, b = 5.3575 Å, c = 9.6644 Å
α = 107.26°, β = 107.26°, γ = 50.42°
Element x y z (fractional)
Nb 0.0000 0.0000 0.0000
Nb 0.1642 0.1642 0.5004
Nb 0.2522 0.2522 0.2487
Nb 0.7478 0.7478 0.7513
Nb 0.8358 0.8358 0.4996
Mo 0.0836 0.0836 0.7531
Mo 0.9164 0.9164 0.2469
W 0.3318 0.3318 0.9970
W 0.4209 0.4209 0.7522
W 0.5000 0.5000 0.5000
W 0.5791 0.5791 0.2478
W 0.6682 0.6682 0.0030

***

A plane-wave DFT calculation with PBE-GGA was carried out for an optimized crystal structure of ZnIrAu2.

Density of states at the Fermi level (states/eV/cell): 2.98
M_tot (μB per formula unit): 0.00
ΔE_f (eV per formula unit): 0.30
Symmetry: Pmm2

a = 2.9033 Å, b = 3.7023 Å, c = 6.0542 Å
α = 90.00°, β = 90.00°, γ = 90.00°
Element x y z (fractional)
Zn 0.0000 0.0000 0.0000
Ir 0.5000 0.5000 0.7950
Au 0.0000 0.0000 0.5340
Au 0.5000 0.5000 0.2584

***

Calculated values (eV per atom) of calculated total energy for the records, taken in order: -2.5530 -11.4863 -4.0971.